1.
Below is a relaxed structure of Zr2Tc, with properties calculated at the PBEsol level.

Results
Relative energy among the computed polymorphs, eV/atom: 0.073

Cell: 3.168 4.504 4.504 Å, 120.00 90.00 90.00°
Atoms (fractional coordinates):
Zr: 0.705 0.667 0.333
Zr: 0.295 0.333 0.667
Tc: 0.000 0.000 0.000


2.
Below is a relaxed structure of Sr2MgCo, with properties calculated at the PBEsol level.

Cell: 3.643 3.644 8.499 Å, 90.00 90.00 90.00°
Site moments in Bohr magnetons follow the coordinates.
Atoms (fractional coordinates):
Co: 0.500 0.500 0.500  1.10
Sr: 0.000 0.000 0.298  -0.07
Sr: 0.000 0.000 0.702  -0.07
Mg: 0.500 0.500 0.000  0.00


Number 1: D(E_F) 2.0 states/eV/cell, calculated formation energy -0.191 eV/atom, calculated total energy -30.0 eV per cell. Number 2: D(E_F) 6.4 states/eV/cell, calculated formation energy 0.347 eV/atom, calculated total energy -11.7 eV per cell.